# 1
{"formula": "CsRbSb", "functional": "PBE", "state": "relaxed", "dft_energy_ev_per_cell": -42.247, "raw_formation_energy_ev_per_atom": -0.366, "cell": [[-5.211, 2.779, -0.161], [-2.653, -5.439, -7.993], [-6.382, -11.396, 9.872]], "species": ["Cs", "Cs", "Cs", "Cs", "Cs", "Cs", "Rb", "Rb", "Rb", "Rb", "Rb", "Rb", "Sb", "Sb", "Sb", "Sb", "Sb", "Sb"], "frac_coords": [[0.000, 0.206, 0.950], [0.000, 0.794, 0.050], [0.000, 0.206, 0.550], [0.000, 0.794, 0.450], [0.000, 0.140, 0.250], [0.000, 0.860, 0.750], [0.500, 0.423, 0.129], [0.500, 0.577, 0.871], [0.500, 0.423, 0.371], [0.500, 0.577, 0.629], [0.500, 0.790, 0.250], [0.500, 0.210, 0.750], [0.500, 0.054, 0.080], [0.500, 0.946, 0.920], [0.500, 0.054, 0.420], [0.500, 0.946, 0.580], [0.000, 0.544, 0.250], [0.000, 0.456, 0.750]]}

---

# 2
{"formula": "SiAgMo2", "functional": "PBE", "state": "relaxed", "dft_energy_ev_per_cell": -29.057, "raw_formation_energy_ev_per_atom": 0.220, "cell": [[-0.799, 2.528, -4.279], [-0.443, -2.971, -4.039], [-2.034, 0.875, 4.520]], "species": ["Ag", "Mo", "Mo", "Si"], "frac_coords": [[0.268, 0.768, 0.500], [0.993, 0.993, 0.000], [0.737, 0.237, 0.500], [0.501, 0.501, 0.000]]}

---

# 3
{"formula": "LiTbCd4Ag2", "functional": "PBE", "state": "relaxed", "formation_enthalpy_0k_ev_per_fu": -1.64, "dft_energy_ev_per_cell": -17.545, "cell": [[4.896, 0.000, 0.000], [2.448, 4.240, 0.000], [2.448, 1.413, 8.024]], "species": ["Li", "Tb", "Cd", "Cd", "Cd", "Cd", "Ag", "Ag"], "frac_coords": [[0.500, 0.500, 0.500], [0.000, 0.000, 0.000], [0.386, 0.386, 0.843], [0.869, 0.869, 0.394], [0.131, 0.131, 0.606], [0.614, 0.614, 0.157], [0.746, 0.746, 0.761], [0.254, 0.254, 0.239]]}

---

# 4
{"formula": "Cs2MnI2Br2", "functional": "PBE", "state": "relaxed", "dft_energy_ev_per_cell": -25.624, "raw_formation_energy_ev_per_atom": -1.186, "cell": [[4.653, 0.000, 0.000], [2.327, 8.745, 0.904], [2.327, 4.305, 7.670]], "species": ["Cs", "Cs", "Mn", "I", "I", "Br", "Br"], "frac_coords": [[0.160, 0.341, 0.340], [0.840, 0.659, 0.660], [0.000, 0.000, 0.000], [0.500, 0.246, 0.754], [0.500, 0.754, 0.246], [0.166, 0.833, 0.835], [0.834, 0.167, 0.165]]}

---

# 5
{"formula": "Ba3DySn2O9", "functional": "PBE", "state": "relaxed", "dft_energy_ev_per_cell": -98.880, "raw_formation_energy_ev_per_atom": -2.392, "cell": [[-1.996, 2.822, 4.958], [-2.568, -5.177, -1.772], [4.849, -3.817, 4.124]], "species": ["Ba", "Ba", "Ba", "Dy", "Sn", "Sn", "O", "O", "O", "O", "O", "O", "O", "O", "O"], "frac_coords": [[0.333, 0.667, 0.669], [0.000, 0.000, 0.000], [0.667, 0.333, 0.331], [0.000, 0.000, 0.500], [0.333, 0.667, 0.164], [0.667, 0.333, 0.836], [0.828, 0.172, 0.677], [0.828, 0.656, 0.677], [0.344, 0.172, 0.677], [0.656, 0.828, 0.323], [0.172, 0.344, 0.323], [0.172, 0.828, 0.323], [0.500, 0.000, 0.000], [0.000, 0.500, 0.000], [0.500, 0.500, 0.000]]}

---

# 6
{"formula": "CsTmSeS", "functional": "PBE", "state": "relaxed", "dft_energy_ev_per_cell": -19.924, "raw_formation_energy_ev_per_atom": -1.747, "cell": [[4.120, 0.000, 0.000], [-2.060, 3.569, 0.000], [-2.060, -1.190, 8.290]], "species": ["Cs", "Tm", "Se", "S"], "frac_coords": [[0.970, 0.383, 0.368], [0.298, 0.547, 0.860], [0.093, 0.944, 0.052], [0.518, 0.157, 0.690]]}

---

# 7
{"formula": "BeTcF2", "functional": "PBE", "state": "relaxed", "dft_energy_ev_per_cell": -24.347, "raw_formation_energy_ev_per_atom": -1.628, "cell": [[6.954, 2.735, 6.065], [8.464, 1.709, 4.251], [7.683, 4.152, 4.044]], "species": ["Be", "Tc", "F", "F"], "frac_coords": [[0.500, 0.500, 0.500], [0.000, 0.000, 0.000], [0.865, 0.865, 0.865], [0.135, 0.135, 0.135]]}

---

# 8
{"formula": "DyPd2Au4", "functional": "PBE", "state": "relaxed", "formation_enthalpy_0k_ev_per_fu": -2.14, "dft_energy_ev_per_cell": -60.471, "cell": [[6.755, 0.544, -2.246], [-3.370, 5.879, -2.247], [-0.288, -0.546, 7.113]], "species": ["Dy", "Dy", "Pd", "Pd", "Pd", "Pd", "Au", "Au", "Au", "Au", "Au", "Au", "Au", "Au"], "frac_coords": [[0.250, 0.750, 0.500], [0.000, 0.000, 0.000], [0.625, 0.551, 0.426], [0.125, 0.199, 0.574], [0.801, 0.375, 0.926], [0.449, 0.875, 0.074], [0.729, 0.996, 0.568], [0.521, 0.589, 0.767], [0.428, 0.161, 0.432], [0.839, 0.271, 0.267], [0.004, 0.572, 0.733], [0.822, 0.754, 0.233], [0.246, 0.479, 0.068], [0.411, 0.178, 0.932]]}

---

# 9
{"formula": "LiCo2I", "functional": "PBE", "state": "relaxed", "dft_energy_ev_per_cell": -15.766, "raw_formation_energy_ev_per_atom": 0.478, "cell": [[0.000, 3.007, 3.007], [3.007, 0.000, 3.007], [3.007, 3.007, 0.000]], "species": ["I", "Co", "Co", "Li"], "frac_coords": [[0.500, 0.500, 0.500], [0.250, 0.250, 0.250], [0.750, 0.750, 0.750], [0.000, 0.000, 0.000]]}

---

# 10
{"formula": "TbCeRuRh", "functional": "PBE", "state": "relaxed", "formation_enthalpy_0k_ev_per_fu": -2.24, "dft_energy_ev_per_cell": -29.429, "cell": [[-1.391, 3.151, 0.341], [-2.232, -0.709, -2.548], [-4.462, -2.467, 4.595]], "species": ["Tb", "Ce", "Ru", "Rh"], "frac_coords": [[0.000, 0.000, 0.358], [0.000, 0.000, 0.856], [0.500, 0.500, 0.620], [0.500, 0.500, 0.094]]}

---

# 11
{"formula": "LiFeAs2", "functional": "PBE", "state": "relaxed", "formation_enthalpy_0k_ev_per_fu": -0.08, "dft_energy_ev_per_cell": -19.757, "cell": [[5.148, 0.001, 0.000], [2.512, 4.494, 0.000], [-3.830, -2.247, 2.604]], "species": ["As", "As", "Fe", "Li"], "frac_coords": [[0.000, 0.000, 0.000], [0.250, 0.750, 0.500], [0.500, 0.500, 0.000], [0.750, 0.250, 0.500]]}

---

# 12
{"formula": "Ca2ZrCl", "functional": "PBE", "state": "relaxed", "dft_energy_ev_per_cell": -12.992, "raw_formation_energy_ev_per_atom": 0.351, "cell": [[-2.596, -3.384, 3.537], [-2.609, -4.509, -1.888], [2.066, -5.035, 1.040]], "species": ["Ca", "Ca", "Zr", "Cl"], "frac_coords": [[0.000, 0.000, 0.000], [0.250, 0.250, 0.250], [0.750, 0.750, 0.750], [0.500, 0.500, 0.500]]}

---

Copy entry 1 word for word.
{"formula": "CsRbSb", "functional": "PBE", "state": "relaxed", "dft_energy_ev_per_cell": -42.247, "raw_formation_energy_ev_per_atom": -0.366, "cell": [[-5.211, 2.779, -0.161], [-2.653, -5.439, -7.993], [-6.382, -11.396, 9.872]], "species": ["Cs", "Cs", "Cs", "Cs", "Cs", "Cs", "Rb", "Rb", "Rb", "Rb", "Rb", "Rb", "Sb", "Sb", "Sb", "Sb", "Sb", "Sb"], "frac_coords": [[0.000, 0.206, 0.950], [0.000, 0.794, 0.050], [0.000, 0.206, 0.550], [0.000, 0.794, 0.450], [0.000, 0.140, 0.250], [0.000, 0.860, 0.750], [0.500, 0.423, 0.129], [0.500, 0.577, 0.871], [0.500, 0.423, 0.371], [0.500, 0.577, 0.629], [0.500, 0.790, 0.250], [0.500, 0.210, 0.750], [0.500, 0.054, 0.080], [0.500, 0.946, 0.920], [0.500, 0.054, 0.420], [0.500, 0.946, 0.580], [0.000, 0.544, 0.250], [0.000, 0.456, 0.750]]}

---

- What is the formula in the first record?
  CsRbSb